# 1
Density functional theory data (PBE) for a geometry-optimized PmTm2Cr2C4 structure.

CIF file:
```
data_PmTm2Cr2C4
_symmetry_space_group_name_H-M 'C 1 2/m 1'
_symmetry_Int_Tables_number 12
_symmetry_space_group_name_Hall '-C 2y'
_cell_length_a 13.352
_cell_length_b 3.283
_cell_length_c 5.840
_cell_angle_alpha 90.00
_cell_angle_beta 112.99
_cell_angle_gamma 90.00
loop_
_atom_site_label
_atom_site_type_symbol
_atom_site_fract_x
_atom_site_fract_y
_atom_site_fract_z
Pm1 Pm 0.000 0.000 0.000
Tm1 Tm 0.147 0.000 0.540
Cr1 Cr 0.175 0.500 0.974
C1 C 0.021 0.500 0.634
C2 C 0.221 0.000 0.202
```

Computed properties:
Mass density, g/cm3: 8.95
Energy of formation from the pure elements, eV per atom: -0.13

# 2
Density functional theory data (PBE) for a geometry-optimized Cs2H6Au structure.

CIF file:
```
data_Cs2H6Au
_symmetry_space_group_name_H-M 'C 1 2/m 1'
_symmetry_Int_Tables_number 12
_symmetry_space_group_name_Hall '-C 2y'
_cell_length_a 12.230
_cell_length_b 8.564
_cell_length_c 9.750
_cell_angle_alpha 90.00
_cell_angle_beta 120.01
_cell_angle_gamma 90.00
loop_
_atom_site_label
_atom_site_type_symbol
_atom_site_fract_x
_atom_site_fract_y
_atom_site_fract_z
Cs1 Cs 0.066 0.249 0.324
H1 H 0.035 0.000 0.019
H2 H 0.087 0.000 0.620
H3 H 0.112 0.500 0.098
H4 H 0.217 0.500 0.572
H5 H 0.246 0.282 0.025
Au1 Au 0.237 0.000 0.762
```

Computed properties:
Mass density, g/cm3: 3.52
Raw total energy, eV per atom: -2.9147

# 3
Density functional theory data (PBE) for a geometry-optimized Y2TlBi structure.

CIF file:
```
data_Y2TlBi
_symmetry_space_group_name_H-M 'C m c m'
_symmetry_Int_Tables_number 63
_symmetry_space_group_name_Hall '-C 2c 2'
_cell_length_a 4.560
_cell_length_b 24.208
_cell_length_c 4.415
_cell_angle_alpha 90.00
_cell_angle_beta 90.00
_cell_angle_gamma 90.00
loop_
_atom_site_label
_atom_site_type_symbol
_atom_site_fract_x
_atom_site_fract_y
_atom_site_fract_z
Y1 Y 0.000 0.062 0.250
Y2 Y 0.000 0.319 0.250
Tl1 Tl 0.000 0.455 0.250
Bi1 Bi 0.000 0.189 0.250
```

Computed properties:
Mass density, g/cm3: 8.06
Energy above the lowest structure with this stoichiometry, kJ per mole of atoms: 0.0
Energy of formation from the pure elements, eV per atom: -0.61